## 1
The following is a DFT calculation (PBE) of an optimized crystal structure of CuNi2PdN.

Unit cell a=3.7143 b=3.7143 c=4.1950 alpha=90.00 beta=90.00 gamma=90.00
With the nearest neighbours (Å) after each atom.
Fractional coordinates of all 5 atoms:
Cu1 0.0000 0.0000 0.0000  4 Pd 2.63, 8 Ni 2.80
Ni1 0.0000 0.5000 0.5000  2 N 1.86
Ni2 0.5000 0.0000 0.5000  2 N 1.86
Pd1 0.5000 0.5000 0.0000  2 N 2.10
N1 0.5000 0.5000 0.5000  4 Ni 1.86

Values from the calculation:
crystal system	tetragonal

## 2
The following is a DFT calculation (PBE) of an optimized crystal structure of CuNi2PdN.

Unit cell a=3.7507 b=3.7507 c=3.9676 alpha=90.00 beta=90.00 gamma=90.00
With the nearest neighbours (Å) after each atom.
Fractional coordinates of all 5 atoms:
Cu1 0.0000 0.0000 0.0000  2 N 1.98
Ni1 0.0000 0.5000 0.5000  2 N 1.88
Ni2 0.5000 0.0000 0.5000  2 N 1.88
Pd1 0.5000 0.5000 0.0000  4 Cu 2.65, 8 Ni 2.73
N1 0.0000 0.0000 0.5000  4 Ni 1.88, 2 Cu 1.98

Values from the calculation:
crystal system	tetragonal

Which structure is the least stable? The one labeled 1.

## 1
The following is a DFT calculation (PBE) of an optimized crystal structure of CuNiS2N.

Unit cell a=4.6363 b=4.6363 c=3.5287 alpha=90.00 beta=90.00 gamma=90.00
With the nearest neighbours (Å) after each atom.
Fractional coordinates of all 5 atoms:
Cu1 0.0000 0.0000 0.0000  2 N 1.76
Ni1 0.5000 0.5000 0.5000  8 S 2.91
S1 0.0000 0.5000 0.0000  2 Cu 2.32
S2 0.5000 0.0000 0.0000  2 Cu 2.32
N1 0.0000 0.0000 0.5000  2 Cu 1.76

Values from the calculation:
crystal system	tetragonal

## 2
The following is a DFT calculation (PBE) of an optimized crystal structure of CuNiS2N.

Unit cell a=4.6952 b=4.6952 c=3.3607 alpha=90.00 beta=90.00 gamma=90.00
With the nearest neighbours (Å) after each atom.
Fractional coordinates of all 5 atoms:
Cu1 0.0000 0.0000 0.0000  8 S 2.89
Ni1 0.5000 0.5000 0.5000  2 N 1.68
S1 0.0000 0.5000 0.5000  2 Ni 2.35
S2 0.5000 0.0000 0.5000  2 Ni 2.35
N1 0.5000 0.5000 0.0000  2 Ni 1.68

Values from the calculation:
crystal system	tetragonal

Which structure is the least stable? The one labeled 1.

## 1
The following is a DFT calculation (PBE) of an optimized crystal structure of CuN2O2.

Unit cell a=3.6681 b=3.6681 c=3.7639 alpha=90.00 beta=90.00 gamma=90.00
With the nearest neighbours (Å) after each atom.
Fractional coordinates of all 5 atoms:
Cu1 0.0000 0.0000 0.0000  4 O 1.83, 2 N 1.88
N1 0.0000 0.0000 0.5000  2 Cu 1.88
N2 0.5000 0.5000 0.5000  4 N 2.59, 8 O 2.63
O1 0.0000 0.5000 0.0000  2 Cu 1.83
O2 0.5000 0.0000 0.0000  2 Cu 1.83

Values from the calculation:
crystal system	tetragonal

## 2
The following is a DFT calculation (PBE) of an optimized crystal structure of CuN2O2.

Unit cell a=4.1973 b=4.1973 c=4.1973 alpha=109.46 beta=109.46 gamma=109.49
With the nearest neighbours (Å) after each atom.
Fractional coordinates of all 5 atoms:
Cu1 0.0000 0.0000 0.0000  2 N 1.86
N1 0.3845 0.3845 0.0000  1 N 1.12
N2 0.6155 0.6155 0.0000  1 N 1.12
O1 0.2500 0.7500 0.5000  2 O 2.42, 4 N 2.51, 4 Cu 2.71
O2 0.7500 0.2500 0.5000  2 O 2.42, 4 N 2.51, 4 Cu 2.71

Values from the calculation:
crystal system	tetragonal

## 3
The following is a DFT calculation (PBE) of an optimized crystal structure of CuN2O2.

Unit cell a=3.0175 b=3.0175 c=8.8930 alpha=91.29 beta=91.29 gamma=59.94
With the nearest neighbours (Å) after each atom.
Fractional coordinates of all 5 atoms:
Cu1 0.0000 0.0000 0.0000  6 O 1.96
N1 0.0012 0.0012 0.5626  1 N 1.11
N2 0.9988 0.9988 0.4374  1 N 1.11
O1 0.3293 0.3293 0.8991  3 Cu 1.96
O2 0.6707 0.6707 0.1009  3 Cu 1.96

Values from the calculation:
crystal system	monoclinic

Which structure is the least stable? The one labeled 1.

## 1
The following is a DFT calculation (PBE) of an optimized crystal structure of CuP2NO.

Unit cell a=3.9279 b=3.9279 c=3.7225 alpha=90.00 beta=90.00 gamma=90.00
With the nearest neighbours (Å) after each atom.
Fractional coordinates of all 5 atoms:
Cu1 0.0000 0.0000 0.0000  8 P 2.71, 4 O 2.78
P1 0.0000 0.5000 0.5000  2 N 1.96
P2 0.5000 0.0000 0.5000  2 N 1.96
N1 0.5000 0.5000 0.5000  2 O 1.86, 4 P 1.96
O1 0.5000 0.5000 0.0000  2 N 1.86

Values from the calculation:
crystal system	tetragonal

## 2
The following is a DFT calculation (PBE) of an optimized crystal structure of CuP2NO.

Unit cell a=4.4751 b=4.4751 c=3.5082 alpha=90.00 beta=90.00 gamma=90.00
With the nearest neighbours (Å) after each atom.
Fractional coordinates of all 5 atoms:
Cu1 0.0000 0.0000 0.0000  2 O 1.75
P1 0.0000 0.5000 0.0000  2 Cu 2.24
P2 0.5000 0.0000 0.0000  2 Cu 2.24
N1 0.5000 0.5000 0.5000  8 P 2.84, 4 O 3.16
O1 0.0000 0.0000 0.5000  2 Cu 1.75

Values from the calculation:
crystal system	tetragonal

Which structure is the least stable? The one labeled 2.